Material: CeGeI5
Method: DFT, PBE-GGA
State: relaxed

Crystal system   monoclinic
Density   4.07 g/cm³

```
data_CeGeI5
_cell_length_a 12.0587
_cell_length_b 10.5595
_cell_length_c 12.0578
_cell_angle_alpha 90.00
_cell_angle_beta 115.90
_cell_angle_gamma 90.00
_space_group_name_H-M_alt 'C 1 2/c 1'
_space_group_IT_number 15
loop_
_space_group_symop_operation_xyz
'x,y,z'
'-x,-y,-z'
'-x,y,-z+1/2'
'x,-y,z+1/2'
'x+1/2,y+1/2,z'
'-x+1/2,-y+1/2,-z'
'-x+1/2,y+1/2,-z+1/2'
'x+1/2,-y+1/2,z+1/2'
loop_
_atom_site_label
_atom_site_fract_x
_atom_site_fract_y
_atom_site_fract_z
_atom_site_occupancy
Ce1 0.2500 0.2500 0.0000 1
Ge1 0.0000 0.0760 0.2500 1
I1 0.0000 0.2473 0.7500 1
I2 0.0970 0.2697 0.1560 1
I3 0.2322 0.0424 0.4864 1
```



Material: Ce2GeI
Method: DFT, PBE-GGA
State: relaxed

Crystal system   trigonal
Energy above the lowest structure with this stoichiometry   24 meV per atom
Density   6.47 g/cm³

```
data_Ce2GeI
_cell_length_a 4.2585
_cell_length_b 4.2585
_cell_length_c 23.5103
_cell_angle_alpha 90.00
_cell_angle_beta 90.00
_cell_angle_gamma 120.00
_space_group_name_H-M_alt 'R 3 m'
_space_group_IT_number 160
_space_group_name_Hall 'R 3 -2"'
loop_
_atom_site_label
_atom_site_fract_x
_atom_site_fract_y
_atom_site_fract_z
_atom_site_occupancy
Ce1 0.0000 0.0000 0.0000 1
Ce2 0.0000 0.0000 0.1958 1
Ge1 0.0000 0.0000 0.5967 1
I1 0.0000 0.0000 0.7665 1
```



Material: Ce2GeI
Method: DFT, PBE-GGA
State: relaxed

Crystal system   tetragonal
Energy above the lowest structure with this stoichiometry   141 meV per atom
Density   7.28 g/cm³

```
data_Ce2GeI
_cell_length_a 3.7392
_cell_length_b 3.7392
_cell_length_c 7.8261
_cell_angle_alpha 90.00
_cell_angle_beta 90.00
_cell_angle_gamma 90.00
_space_group_name_H-M_alt 'P 4/m m m'
_space_group_IT_number 123
_space_group_name_Hall '-P 4 2'
loop_
_atom_site_label
_atom_site_fract_x
_atom_site_fract_y
_atom_site_fract_z
_atom_site_occupancy
Ce1 0.0000 0.0000 0.2119 1
Ge1 0.5000 0.5000 0.0000 1
I1 0.5000 0.5000 0.5000 1
```



Computed formation energy (no corrections), in the same sequence as the records: -829, -838, -722 meV per atom.